Record 1
MgTaAl | PBEsol | optimized geometry

POSCAR file:
```
MgTaAl
1.0
2.8406 0.0000 0.0000
0.0000 3.8081 0.0000
-1.4203 -1.9041 4.8827
Mg Al Ta
1 1 1
direct
0.6618 0.6618 0.3236 Mg
0.9945 0.9945 0.9889 Al
0.3437 0.3437 0.6874 Ta
```

Properties
**VASP energy**: -5.931 eV per atom
**Crystal system**: orthorhombic
**Energy above the most stable polymorph in this dataset**: 0.018 eV per atom
**M_tot**: 0.0 μB per cell
**D(E_F)**: 1.90 states/eV/f.u.
**Calculated formation energy**: 189 meV/atom

---

Record 2
MgTa2Al | PBEsol | optimized geometry

POSCAR file:
```
MgTa2Al
1.0
-1.8693 -2.0752 -0.2532
3.6070 -2.9693 -2.2989
-0.2032 -0.4500 5.1835
Al Mg Ta
1 1 2
direct
0.5000 0.5000 0.5000 Al
0.5000 0.0000 0.0000 Mg
0.0000 0.5000 0.0000 Ta
0.0000 0.0000 0.5000 Ta
```

Properties
**VASP energy**: -7.646 eV per atom
**Crystal system**: orthorhombic
**Energy above the most stable polymorph in this dataset**: 0.039 eV per atom
**M_tot**: 0.0 μB per cell
**D(E_F)**: 2.65 states/eV/f.u.
**Calculated formation energy**: 82 meV/atom

---

Record 3
MgTa2Al | PBEsol | optimized geometry

POSCAR file:
```
MgTa2Al
1.0
2.8055 0.0000 0.0548
0.0000 4.4005 0.0000
-0.4263 0.0000 5.5971
Al Mg Ta
1 1 2
direct
0.5000 0.5000 0.0000 Al
0.5000 0.5000 0.5000 Mg
0.0102 0.0000 0.7553 Ta
0.9898 0.0000 0.2447 Ta
```

Properties
**VASP energy**: -7.647 eV per atom
**Crystal system**: monoclinic
**Energy above the most stable polymorph in this dataset**: 0.039 eV per atom
**M_tot**: 0.0 μB per cell
**D(E_F)**: 2.43 states/eV/f.u.
**Calculated formation energy**: 81 meV/atom

---

Record 4
MgTaAl | PBEsol | optimized geometry

POSCAR file:
```
MgTaAl
1.0
-0.4328 2.7797 -0.6383
-0.4928 -1.0841 -4.3869
-3.6222 0.0664 2.7455
Mg Al Ta
1 1 1
direct
0.8326 0.3333 0.6667 Mg
0.8344 0.0000 0.0000 Al
0.3330 0.6667 0.3333 Ta
```

Properties
**VASP energy**: -5.949 eV per atom
**Crystal system**: trigonal
**Energy above the most stable polymorph in this dataset**: 0.000 eV per atom
**M_tot**: 0.0 μB per cell
**D(E_F)**: 2.71 states/eV/f.u.
**Calculated formation energy**: 171 meV/atom